[1]
## ReTeIr2 (PBE)

Data for a geometry-optimized ReTeIr2 structure.

## Properties
uncorrected formation energy: 0.505 eV per atom
E: -7.82 eV/atom

a b c (Å): 9.421 2.977 4.744
angles (deg): 90.00 96.01 90.00
Positions (direct):
Re  0.000  0.000  0.000
Re  0.500  0.500  0.000
Te  0.000  0.500  0.500
Te  0.500  0.000  0.500
Ir  0.234  0.500  0.228
Ir  0.266  0.000  0.772
Ir  0.734  0.000  0.228
Ir  0.766  0.500  0.772

***

[2]
## Re2TeIr (PBE)

Data for a geometry-optimized Re2TeIr structure.

## Properties
uncorrected formation energy: 0.894 eV per atom
E: -8.33 eV/atom

a b c (Å): 6.452 6.452 6.452
angles (deg): 90.00 90.00 90.00
Positions (direct):
Re  0.000  0.000  0.000
Re  0.000  0.500  0.500
Re  0.250  0.250  0.250
Re  0.250  0.750  0.750
Re  0.500  0.000  0.500
Re  0.500  0.500  0.000
Re  0.750  0.250  0.750
Re  0.750  0.750  0.250
Te  0.250  0.250  0.750
Te  0.250  0.750  0.250
Te  0.750  0.250  0.250
Te  0.750  0.750  0.750
Ir  0.000  0.000  0.500
Ir  0.000  0.500  0.000
Ir  0.500  0.000  0.000
Ir  0.500  0.500  0.500

***

[3]
## Re2TeIr (PBE)

Data for a geometry-optimized Re2TeIr structure.

## Properties
uncorrected formation energy: 0.452 eV per atom
E: -8.77 eV/atom

a b c (Å): 2.985 2.985 7.574
angles (deg): 90.00 90.00 90.00
Positions (direct):
Re  0.000  0.000  0.000
Re  0.500  0.500  0.214
Te  0.000  0.000  0.485
Ir  0.500  0.500  0.758

***

[4]
## ReTeIr3 (PBE)

Data for a geometry-optimized ReTeIr3 structure.

## Properties
uncorrected formation energy: 1.566 eV per atom
E: -6.87 eV/atom
excess energy over the best structure of this formula in the dataset: 0 meV/atom

a b c (Å): 4.771 4.771 4.771
angles (deg): 90.00 90.00 90.00
Positions (direct):
Re  0.000  0.000  0.000
Te  0.500  0.500  0.500
Ir  0.000  0.000  0.500
Ir  0.000  0.500  0.000
Ir  0.500  0.000  0.000